1.
LiPm3Nd12 | PBE | relaxed

Cell: 5.1708 5.1708 20.5595 Å, 90.00 90.00 90.00°
With the nearest neighbours (Å) after each atom.
Fractional coordinates of all 16 atoms:
Li: 0.0000 0.0000 0.0000  12 Nd 3.60-3.66
Pm: 0.0000 0.0000 0.2460  12 Nd 3.63-3.68
Pm: 0.0000 0.0000 0.5000  12 Nd 3.66-3.67
Pm: 0.0000 0.0000 0.7540  12 Nd 3.63-3.68
Nd: 0.0000 0.5000 0.1219  2 Li 3.60, 8 Nd 3.60-3.66, 2 Pm 3.63
Nd: 0.0000 0.5000 0.3734  8 Nd 3.66-3.71, 4 Pm 3.67-3.68
Nd: 0.0000 0.5000 0.6266  8 Nd 3.66-3.71, 4 Pm 3.67-3.68
Nd: 0.0000 0.5000 0.8781  2 Li 3.60, 8 Nd 3.60-3.66, 2 Pm 3.63
Nd: 0.5000 0.0000 0.1219  2 Li 3.60, 8 Nd 3.60-3.66, 2 Pm 3.63
Nd: 0.5000 0.0000 0.3734  8 Nd 3.66-3.71, 4 Pm 3.67-3.68
Nd: 0.5000 0.0000 0.6266  8 Nd 3.66-3.71, 4 Pm 3.67-3.68
Nd: 0.5000 0.0000 0.8781  2 Li 3.60, 8 Nd 3.60-3.66, 2 Pm 3.63
Nd: 0.5000 0.5000 0.0000  8 Nd 3.60, 4 Li 3.66
Nd: 0.5000 0.5000 0.2438  8 Nd 3.60-3.71, 4 Pm 3.66
Nd: 0.5000 0.5000 0.5000  4 Pm 3.66, 8 Nd 3.67
Nd: 0.5000 0.5000 0.7562  8 Nd 3.60-3.71, 4 Pm 3.66

Computed properties:
Final energy ... -4.541 eV/atom
Space-group type ... P4/mmm, No. 123
Spin magnetization ... 0.000 μB per atom
V ... 549.7 Å³/cell
ΔH_f (0 K) ... 0.0456 eV/atom

2.
Y2TmPb2 | PBE | relaxed

Cell: 9.4238 9.4238 6.5371 Å, 90.00 90.00 149.15°
With the nearest neighbours (Å) after each atom.
Fractional coordinates of all 10 atoms:
Y: 0.9995 0.0005 0.0000  2 Y 3.27, 4 Pb 3.29-3.30, 4 Tm 3.55
Y: 0.0005 0.9995 0.5000  2 Y 3.27, 4 Pb 3.29-3.30, 4 Tm 3.55
Y: 0.1903 0.8097 0.7526  6 Pb 3.26-3.27
Y: 0.8097 0.1903 0.2526  6 Pb 3.26-3.27
Tm: 0.3948 0.6052 0.7489  5 Pb 2.99-3.32
Tm: 0.6052 0.3948 0.2489  5 Pb 2.99-3.32
Pb: 0.1947 0.8053 0.2529  2 Tm 2.99, 4 Y 3.26-3.27
Pb: 0.4243 0.5757 0.2499  6 Y 3.26-3.30, 3 Tm 3.29-3.32
Pb: 0.5757 0.4243 0.7499  6 Y 3.26-3.30, 3 Tm 3.29-3.32
Pb: 0.8053 0.1947 0.7529  2 Tm 2.99, 4 Y 3.26-3.27

Computed properties:
Final energy ... -5.421 eV/atom
Space-group type ... Cmc2_1, No. 36
Spin magnetization ... 0.000 μB per atom
V ... 297.7 Å³/cell
ΔH_f (0 K) ... -0.4580 eV/atom

3.
TlSeS2N | PBE | relaxed

Cell: 5.0851 5.0851 3.8214 Å, 90.00 90.00 90.00°
With the nearest neighbours (Å) after each atom.
Fractional coordinates of all 5 atoms:
Tl: 0.0000 0.0000 0.0000  8 S 3.18
Se: 0.5000 0.5000 0.5000  2 N 1.91
S: 0.0000 0.5000 0.5000  2 Se 2.54
S: 0.5000 0.0000 0.5000  2 Se 2.54
N: 0.5000 0.5000 0.0000  2 Se 1.91

Computed properties:
Final energy ... -3.631 eV/atom
Space-group type ... P4/mmm, No. 123
Spin magnetization ... 0.197 μB per atom
V ... 98.8 Å³/cell
Uncorrected formation energy ... 0.855 eV/atom
Polymorph energy (0 for the lowest one) ... 0.0 kJ/mol of atoms

4.
CePrErTm3 | PBE | relaxed

Cell: 6.3990 6.3990 11.5337 Å, 90.00 90.00 126.44°
With the nearest neighbours (Å) after each atom.
Fractional coordinates of all 12 atoms:
Ce: 0.0008 0.9992 0.7500  7 Tm 3.48-3.74, 3 Er 3.51-3.71
Ce: 0.9992 0.0008 0.2500  7 Tm 3.48-3.74, 3 Er 3.51-3.71
Pr: 0.5000 0.5000 0.0000  8 Tm 3.49-3.75, 2 Er 3.50
Pr: 0.5000 0.5000 0.5000  8 Tm 3.49-3.75, 2 Er 3.50
Er: 0.3257 0.6743 0.7500  4 Tm 3.37-3.39, 2 Pr 3.50, 3 Ce 3.51-3.71
Er: 0.6743 0.3257 0.2500  4 Tm 3.37-3.39, 2 Pr 3.50, 3 Ce 3.51-3.71
Tm: 0.1716 0.8284 0.0009  3 Tm 3.38-3.39, 1 Er 3.39, 2 Ce 3.48-3.49, 3 Pr 3.49-3.75
Tm: 0.1716 0.8284 0.4991  3 Tm 3.38-3.39, 1 Er 3.39, 2 Ce 3.48-3.49, 3 Pr 3.49-3.75
Tm: 0.3270 0.6730 0.2500  2 Er 3.37, 2 Tm 3.38, 3 Ce 3.49-3.74, 2 Pr 3.50
Tm: 0.6730 0.3270 0.7500  2 Er 3.37, 2 Tm 3.38, 3 Ce 3.49-3.74, 2 Pr 3.50
Tm: 0.8284 0.1716 0.5009  3 Tm 3.38-3.39, 1 Er 3.39, 2 Ce 3.48-3.49, 3 Pr 3.49-3.75
Tm: 0.8284 0.1716 0.9991  3 Tm 3.38-3.39, 1 Er 3.39, 2 Ce 3.48-3.49, 3 Pr 3.49-3.75

Computed properties:
Final energy ... -4.639 eV/atom
Space-group type ... Cmcm, No. 63
Spin magnetization ... 0.180 μB per atom
V ... 379.9 Å³/cell
ΔH_f (0 K) ... 0.1431 eV/atom

5.
NpNiPtRh | PBE | relaxed

Cell: 3.8997 3.9790 4.1777 Å, 90.00 90.00 90.00°
With the nearest neighbours (Å) after each atom.
Fractional coordinates of all 4 atoms:
Np: 0.0000 0.0000 0.0000  4 Rh 2.79, 4 Ni 2.86, 4 Pt 2.88
Ni: 0.5000 0.0000 0.5000  4 Pt 2.79, 4 Np 2.86, 4 Rh 2.88
Pt: 0.0000 0.5000 0.5000  4 Ni 2.79, 4 Rh 2.86, 4 Np 2.88
Rh: 0.5000 0.5000 0.0000  4 Np 2.79, 4 Pt 2.86, 4 Ni 2.88

Computed properties:
Final energy ... -8.448 eV/atom
Space-group type ... Pmmm, No. 47
Spin magnetization ... 0.636 μB per atom
V ... 64.8 Å³/cell
ΔH_f (0 K) ... -0.4197 eV/atom
Polymorph energy (0 for the lowest one) ... 0.0 kJ/mol of atoms

6.
Sm3Ho3Er8 | PBE | relaxed

Cell: 9.5870 9.5870 9.5870 Å, 146.07 111.88 78.32°
With the nearest neighbours (Å) after each atom.
Fractional coordinates of all 14 atoms:
Sm: 0.0000 0.0000 0.0000  4 Ho 3.56, 4 Sm 3.90
Sm: 0.1825 0.6825 0.5000  2 Ho 3.49, 8 Er 3.58-3.70, 2 Sm 3.90
Sm: 0.8175 0.3175 0.5000  2 Ho 3.49, 8 Er 3.58-3.70, 2 Sm 3.90
Ho: 0.2045 0.5000 0.7045  1 Ho 3.17, 2 Sm 3.49, 4 Er 3.52
Ho: 0.5000 0.5000 0.0000  2 Ho 3.17
Ho: 0.7955 0.5000 0.2955  1 Ho 3.17, 2 Sm 3.49, 4 Er 3.52
Er: 0.1190 0.2789 0.8401  6 Er 3.27-3.51, 2 Sm 3.58, 1 Ho 3.60
Er: 0.2393 0.8968 0.3425  5 Er 3.07-3.38
Er: 0.4388 0.2789 0.1599  6 Er 3.27-3.51, 2 Sm 3.58, 1 Ho 3.60
Er: 0.4456 0.1032 0.3425  5 Er 3.07-3.38
Er: 0.5544 0.8968 0.6575  5 Er 3.07-3.38
Er: 0.5612 0.7211 0.8401  6 Er 3.27-3.51, 2 Sm 3.58, 1 Ho 3.60
Er: 0.7607 0.1032 0.6575  5 Er 3.07-3.38
Er: 0.8810 0.7211 0.1599  6 Er 3.27-3.51, 2 Sm 3.58, 1 Ho 3.60

Computed properties:
Final energy ... -4.487 eV/atom
Space-group type ... Immm, No. 71
Spin magnetization ... 0.000 μB per atom
V ... 446.6 Å³/cell
ΔH_f (0 K) ... 0.1126 eV/atom

7.
Tb6NdIn | PBE | relaxed

Cell: 4.9311 4.9311 10.1254 Å, 90.00 90.00 90.00°
With the nearest neighbours (Å) after each atom.
Fractional coordinates of all 8 atoms:
Tb: 0.0000 0.0000 0.0000  8 Tb 3.47, 4 In 3.49
Tb: 0.0000 0.0000 0.5000  4 Nd 3.49, 8 Tb 3.59
Tb: 0.0000 0.5000 0.2417  2 In 3.47, 8 Tb 3.47-3.59, 2 Nd 3.59
Tb: 0.0000 0.5000 0.7583  2 In 3.47, 8 Tb 3.47-3.59, 2 Nd 3.59
Tb: 0.5000 0.0000 0.2417  2 In 3.47, 8 Tb 3.47-3.59, 2 Nd 3.59
Tb: 0.5000 0.0000 0.7583  2 In 3.47, 8 Tb 3.47-3.59, 2 Nd 3.59
Nd: 0.5000 0.5000 0.5000  12 Tb 3.49-3.59
In: 0.5000 0.5000 0.0000  12 Tb 3.47-3.49

Computed properties:
Final energy ... -4.522 eV/atom
Space-group type ... P4/mmm, No. 123
Spin magnetization ... 0.000 μB per atom
V ... 246.2 Å³/cell
ΔH_f (0 K) ... -0.1107 eV/atom

8.
Er14TmMg | PBE | relaxed

Cell: 6.9746 6.9746 9.8779 Å, 90.00 90.00 90.00°
With the nearest neighbours (Å) after each atom.
Fractional coordinates of all 16 atoms:
Er: 0.0000 0.0000 0.0000  12 Er 3.49
Er: 0.0000 0.5000 0.0000  12 Er 3.49
Er: 0.0000 0.5000 0.5000  8 Er 3.49, 2 Mg 3.49, 2 Tm 3.49
Er: 0.2489 0.2489 0.2505  10 Er 3.47-3.50, 1 Tm 3.48, 1 Mg 3.49
Er: 0.2489 0.2489 0.7495  10 Er 3.47-3.50, 1 Tm 3.48, 1 Mg 3.49
Er: 0.2489 0.7511 0.2505  10 Er 3.47-3.50, 1 Tm 3.48, 1 Mg 3.49
Er: 0.2489 0.7511 0.7495  10 Er 3.47-3.50, 1 Tm 3.48, 1 Mg 3.49
Er: 0.5000 0.0000 0.0000  12 Er 3.49
Er: 0.5000 0.0000 0.5000  8 Er 3.49, 2 Mg 3.49, 2 Tm 3.49
Er: 0.5000 0.5000 0.0000  12 Er 3.49-3.50
Er: 0.7511 0.2489 0.2505  10 Er 3.47-3.50, 1 Tm 3.48, 1 Mg 3.49
Er: 0.7511 0.2489 0.7495  10 Er 3.47-3.50, 1 Tm 3.48, 1 Mg 3.49
Er: 0.7511 0.7511 0.2505  10 Er 3.47-3.50, 1 Tm 3.48, 1 Mg 3.49
Er: 0.7511 0.7511 0.7495  10 Er 3.47-3.50, 1 Tm 3.48, 1 Mg 3.49
Tm: 0.0000 0.0000 0.5000  12 Er 3.48-3.49
Mg: 0.5000 0.5000 0.5000  12 Er 3.49

Computed properties:
Final energy ... -4.345 eV/atom
Space-group type ... P4/mmm, No. 123
Spin magnetization ... 0.000 μB per atom
V ... 480.5 Å³/cell
ΔH_f (0 K) ... 0.0263 eV/atom

9.
DyEr5In2 | PBE | relaxed

Cell: 8.3818 8.3818 8.3818 Å, 155.75 103.04 82.10°
With the nearest neighbours (Å) after each atom.
Fractional coordinates of all 8 atoms:
Dy: 0.0000 0.0000 0.0000  4 In 3.52, 2 Dy 3.52, 8 Er 3.74
Er: 0.1382 0.3666 0.7716  3 In 3.14-3.36, 5 Er 3.37-3.46
Er: 0.4050 0.6334 0.7716  3 In 3.14-3.36, 5 Er 3.37-3.46
Er: 0.5000 0.0000 0.5000  2 In 3.28, 10 Er 3.41-3.52
Er: 0.5950 0.3666 0.2284  3 In 3.14-3.36, 5 Er 3.37-3.46
Er: 0.8618 0.6334 0.2284  3 In 3.14-3.36, 5 Er 3.37-3.46
In: 0.2408 0.7408 0.5000  7 Er 3.14-3.36, 2 Dy 3.52
In: 0.7592 0.2592 0.5000  7 Er 3.14-3.36, 2 Dy 3.52

Computed properties:
Final energy ... -4.280 eV/atom
Space-group type ... Immm, No. 71
Spin magnetization ... 0.001 μB per atom
V ... 232.2 Å³/cell
ΔH_f (0 K) ... -0.1684 eV/atom

10.
TmSiSn2 | PBE | relaxed

Cell: 4.4304 4.4304 4.7011 Å, 90.00 90.00 90.00°
With the nearest neighbours (Å) after each atom.
Fractional coordinates of all 4 atoms:
Tm: 0.0000 0.0000 0.0000  4 Si 3.13, 8 Sn 3.23
Si: 0.5000 0.5000 0.0000  4 Tm 3.13, 8 Sn 3.23
Sn: 0.0000 0.5000 0.5000  4 Sn 3.13, 4 Tm 3.23, 4 Si 3.23
Sn: 0.5000 0.0000 0.5000  4 Sn 3.13, 4 Tm 3.23, 4 Si 3.23

Computed properties:
Final energy ... -4.702 eV/atom
Space-group type ... P4/mmm, No. 123
Spin magnetization ... 0.000 μB per atom
V ... 92.3 Å³/cell
Uncorrected formation energy ... -0.227 eV/atom

Please write out number 6 again, unchanged.
Sm3Ho3Er8 | PBE | relaxed

Cell: 9.5870 9.5870 9.5870 Å, 146.07 111.88 78.32°
With the nearest neighbours (Å) after each atom.
Fractional coordinates of all 14 atoms:
Sm: 0.0000 0.0000 0.0000  4 Ho 3.56, 4 Sm 3.90
Sm: 0.1825 0.6825 0.5000  2 Ho 3.49, 8 Er 3.58-3.70, 2 Sm 3.90
Sm: 0.8175 0.3175 0.5000  2 Ho 3.49, 8 Er 3.58-3.70, 2 Sm 3.90
Ho: 0.2045 0.5000 0.7045  1 Ho 3.17, 2 Sm 3.49, 4 Er 3.52
Ho: 0.5000 0.5000 0.0000  2 Ho 3.17
Ho: 0.7955 0.5000 0.2955  1 Ho 3.17, 2 Sm 3.49, 4 Er 3.52
Er: 0.1190 0.2789 0.8401  6 Er 3.27-3.51, 2 Sm 3.58, 1 Ho 3.60
Er: 0.2393 0.8968 0.3425  5 Er 3.07-3.38
Er: 0.4388 0.2789 0.1599  6 Er 3.27-3.51, 2 Sm 3.58, 1 Ho 3.60
Er: 0.4456 0.1032 0.3425  5 Er 3.07-3.38
Er: 0.5544 0.8968 0.6575  5 Er 3.07-3.38
Er: 0.5612 0.7211 0.8401  6 Er 3.27-3.51, 2 Sm 3.58, 1 Ho 3.60
Er: 0.7607 0.1032 0.6575  5 Er 3.07-3.38
Er: 0.8810 0.7211 0.1599  6 Er 3.27-3.51, 2 Sm 3.58, 1 Ho 3.60

Computed properties:
Final energy ... -4.487 eV/atom
Space-group type ... Immm, No. 71
Spin magnetization ... 0.000 μB per atom
V ... 446.6 Å³/cell
ΔH_f (0 K) ... 0.1126 eV/atom

Question: Which value of final energy does entry 3 give?
Answer: -3.631 eV/atom

Question: spin magnetization of number 5 (NpNiPtRh)?
Answer: 0.636 μB per atom

Question: What is the final energy in the fourth record?
Answer: -4.639 eV/atom